1.
# RbZnHgS2

A geometry-optimized RbZnHgS2 structure (GGA-PBE, Alexandria).

Geometry as CIF:
```
data_RbZnHgS2
_cell_length_a 6.649
_cell_length_b 6.649
_cell_length_c 7.533
_cell_angle_alpha 90.00
_cell_angle_beta 90.00
_cell_angle_gamma 90.00
_symmetry_space_group_name_H-M 'P 4/m m m'
_symmetry_Int_Tables_number 123
_symmetry_space_group_name_Hall '-P 4 2'
loop_
_atom_site_label
_atom_site_type_symbol
_atom_site_fract_x
_atom_site_fract_y
_atom_site_fract_z
_atom_site_occupancy
Rb1 Rb 0.000 0.000 0.000 1
Zn1 Zn 0.000 0.000 0.500 1
Hg1 Hg 0.500 0.500 0.500 1
S1 S 0.000 0.500 0.000 1
```

Computed properties:
The density of states at the Fermi level comes out at 11.8 states/eV per cell. For the total energy, the calculation gives -1.43 eV per atom. The energy above the lowest structure with this stoichiometry comes out at 3.70 eV/f.u.



2.
# RbZnHgS2

A geometry-optimized RbZnHgS2 structure (GGA-PBE, Alexandria).

Geometry as CIF:
```
data_RbZnHgS2
_cell_length_a 5.291
_cell_length_b 5.291
_cell_length_c 5.092
_cell_angle_alpha 90.00
_cell_angle_beta 90.00
_cell_angle_gamma 90.00
_symmetry_space_group_name_H-M 'P 4/m m m'
_symmetry_Int_Tables_number 123
_symmetry_space_group_name_Hall '-P 4 2'
loop_
_atom_site_label
_atom_site_type_symbol
_atom_site_fract_x
_atom_site_fract_y
_atom_site_fract_z
_atom_site_occupancy
Rb1 Rb 0.000 0.000 0.000 1
Zn1 Zn 0.500 0.500 0.000 1
Hg1 Hg 0.500 0.500 0.500 1
S1 S 0.000 0.500 0.500 1
```

Computed properties:
The density of states at the Fermi level comes out at 3.2 states/eV per cell. For the total energy, the calculation gives -2.17 eV per atom. The energy above the lowest structure with this stoichiometry comes out at 0.00 eV/f.u.